The following is a DFT calculation (PBE) of a relaxed structure of K2LaCu2O4.

a b c (Å): 7.069 7.069 6.435
angles (deg): 105.31 105.31 29.25
Positions (direct):
K (0.131, 0.131, 0.061)
K (0.869, 0.869, 0.939)
La (0.000, 0.000, 0.500)
Cu (0.316, 0.316, 0.470)
Cu (0.684, 0.684, 0.530)
O (0.195, 0.195, 0.666)
O (0.458, 0.458, 0.709)
O (0.542, 0.542, 0.291)
O (0.805, 0.805, 0.334)

Symmetry: C2/m, No. 12



The following is a DFT calculation (PBE) of a relaxed structure of La3CN.

a b c (Å): 4.889 4.889 4.889
angles (deg): 90.00 90.00 90.00
Positions (direct):
La (0.000, 0.000, 0.500)
La (0.000, 0.500, 0.000)
La (0.500, 0.000, 0.000)
C (0.500, 0.500, 0.500)
N (0.000, 0.000, 0.000)

Symmetry: Pm-3m, No. 221
Distance to the lowest polymorph of the same formula, kJ per mole of atoms: 57.29



The following is a DFT calculation (PBE) of a relaxed structure of ScGa2Cl6.

a b c (Å): 9.408 9.408 6.515
angles (deg): 94.98 94.98 69.61
Positions (direct):
Sc (0.092, 0.908, 0.750)
Sc (0.908, 0.092, 0.250)
Ga (0.388, 0.477, 0.610)
Ga (0.477, 0.388, 0.110)
Ga (0.523, 0.612, 0.890)
Ga (0.612, 0.523, 0.390)
Cl (0.022, 0.158, 0.596)
Cl (0.154, 0.630, 0.797)
Cl (0.158, 0.022, 0.096)
Cl (0.257, 0.415, 0.302)
Cl (0.370, 0.846, 0.703)
Cl (0.415, 0.257, 0.802)
Cl (0.585, 0.743, 0.198)
Cl (0.630, 0.154, 0.297)
Cl (0.743, 0.585, 0.698)
Cl (0.842, 0.978, 0.904)
Cl (0.846, 0.370, 0.203)
Cl (0.978, 0.842, 0.404)

Symmetry: C2/c, No. 15



The following is a DFT calculation (PBE) of a relaxed structure of Al2TlOs.

a b c (Å): 4.686 4.686 5.243
angles (deg): 98.77 98.77 40.14
Positions (direct):
Al (0.000, 0.000, 0.000)
Al (0.748, 0.748, 0.246)
Tl (0.518, 0.518, 0.547)
Os (0.275, 0.275, 0.888)

Symmetry: Cm, No. 8
Formation energy from the elements, eV/atom: 0.240
Distance to the lowest polymorph of the same formula, kJ per mole of atoms: 31.28



The following is a DFT calculation (PBE) of a relaxed structure of CaNiW3.

a b c (Å): 4.538 4.538 4.538
angles (deg): 90.00 90.00 90.00
Positions (direct):
Ca (0.000, 0.000, 0.000)
Ni (0.500, 0.500, 0.500)
W (0.000, 0.000, 0.500)
W (0.000, 0.500, 0.000)
W (0.500, 0.000, 0.000)

Symmetry: Pm-3m, No. 221
Formation energy from the elements, eV/atom: 3.363
Distance to the lowest polymorph of the same formula, kJ per mole of atoms: 181.27



The following is a DFT calculation (PBE) of a relaxed structure of SbP2IrO.

a b c (Å): 4.968 4.968 3.743
angles (deg): 90.00 90.00 90.00
Positions (direct):
Sb (0.000, 0.000, 0.000)
P (0.000, 0.500, 0.000)
P (0.500, 0.000, 0.000)
Ir (0.500, 0.500, 0.500)
O (0.000, 0.000, 0.500)

Symmetry: P4/mmm, No. 123
Distance to the lowest polymorph of the same formula, kJ per mole of atoms: 76.98



The following is a DFT calculation (PBE) of a relaxed structure of Er12ThCo6.

a b c (Å): 8.378 8.378 8.378
angles (deg): 109.47 109.47 109.47
Positions (direct):
Er (0.115, 0.808, 0.307)
Er (0.192, 0.307, 0.500)
Er (0.192, 0.693, 0.885)
Er (0.307, 0.115, 0.808)
Er (0.307, 0.500, 0.192)
Er (0.500, 0.192, 0.307)
Er (0.500, 0.808, 0.693)
Er (0.693, 0.500, 0.808)
Er (0.693, 0.885, 0.192)
Er (0.808, 0.307, 0.115)
Er (0.808, 0.693, 0.500)
Er (0.885, 0.192, 0.693)
Th (0.000, 0.000, 0.000)
Co (0.114, 0.614, 0.500)
Co (0.386, 0.500, 0.886)
Co (0.500, 0.114, 0.614)
Co (0.500, 0.886, 0.386)
Co (0.614, 0.500, 0.114)
Co (0.886, 0.386, 0.500)

Symmetry: Im-3, No. 204
Formation energy from the elements, eV/atom: -0.139



The following is a DFT calculation (PBE) of a relaxed structure of LiPrBr.

a b c (Å): 4.112 4.112 13.265
angles (deg): 93.24 93.24 59.96
Positions (direct):
Li (0.163, 0.163, 0.473)
Li (0.837, 0.837, 0.527)
Pr (0.476, 0.476, 0.297)
Pr (0.524, 0.524, 0.703)
Br (0.209, 0.209, 0.848)
Br (0.791, 0.791, 0.152)

Symmetry: C2/m, No. 12



The following is a DFT calculation (PBE) of a relaxed structure of SbAu.

a b c (Å): 8.839 8.839 4.651
angles (deg): 90.00 90.00 120.00
Positions (direct):
Sb (0.016, 0.273, 0.250)
Sb (0.257, 0.984, 0.250)
Sb (0.273, 0.257, 0.750)
Sb (0.727, 0.743, 0.250)
Sb (0.743, 0.016, 0.750)
Sb (0.984, 0.727, 0.750)
Au (0.114, 0.621, 0.250)
Au (0.379, 0.493, 0.250)
Au (0.493, 0.114, 0.750)
Au (0.507, 0.886, 0.250)
Au (0.621, 0.507, 0.750)
Au (0.886, 0.379, 0.750)

Symmetry: P6_3/m, No. 176



The following is a DFT calculation (PBE) of a relaxed structure of K3RbAg.

a b c (Å): 7.629 8.817 10.340
angles (deg): 67.51 68.60 89.68
Positions (direct):
K (0.000, 0.000, 0.000)
K (0.086, 0.561, 0.821)
K (0.355, 0.910, 0.291)
K (0.478, 0.601, 0.036)
K (0.572, 0.260, 0.853)
K (0.832, 0.505, 0.327)
Rb (0.253, 0.255, 0.489)
Rb (0.740, 0.932, 0.521)
Ag (0.107, 0.256, 0.160)
Ag (0.729, 0.255, 0.160)

Symmetry: P1, No. 1
Formation energy from the elements, eV/atom: 0.023
Distance to the lowest polymorph of the same formula, kJ per mole of atoms: 0.00



The following is a DFT calculation (PBE) of a relaxed structure of La3Sm2YSb6.

a b c (Å): 7.862 7.862 7.850
angles (deg): 99.61 99.61 119.99
Positions (direct):
La (0.000, 0.000, 0.000)
La (0.332, 0.668, 0.000)
La (0.668, 0.332, 0.000)
Sm (0.166, 0.834, 0.500)
Sm (0.834, 0.166, 0.500)
Y (0.500, 0.500, 0.500)
Sb (0.089, 0.420, 0.260)
Sb (0.250, 0.250, 0.741)
Sb (0.420, 0.089, 0.260)
Sb (0.580, 0.911, 0.740)
Sb (0.750, 0.750, 0.259)
Sb (0.911, 0.580, 0.740)

Symmetry: C2/m, No. 12



The following is a DFT calculation (PBE) of a relaxed structure of Ba2Os.

a b c (Å): 5.302 5.302 5.302
angles (deg): 60.00 60.00 60.00
Positions (direct):
Ba (0.250, 0.250, 0.250)
Ba (0.750, 0.750, 0.750)
Os (0.000, 0.000, 0.000)

Symmetry: Fm-3m, No. 225
Formation energy from the elements, eV/atom: 0.674
Distance to the lowest polymorph of the same formula, kJ per mole of atoms: 43.69



The records above give, respectively, E values of -0.198; -0.234; -0.147; -0.185; -0.219; -0.177; -0.208; -0.128; -0.133; -0.051; -0.215; -0.160 hartree per atom.
The records above give, respectively, spin magnetization values of 0.95; 0.00; 0.00; 0.00; 0.00; 0.00; 0.00; 1.03; 0.00; 0.00; 0.00; 0.00 μB per formula unit.